Arrangement i

The following is a GGA-PBE calculation of a relaxed La4Tb3Nd crystal, from Alexandria.

As for the magnetization: 0.0 μB/cell. For the density of states at the Fermi level, the calculation gives 29.362 states/eV per cell. As for the crystal system: orthorhombic.

The structure belongs to space group Immm (No. 71); the cell edges are 3.540, 11.832 and 13.310 Å and the angles 90.00°, 90.00° and 90.00°. The asymmetric unit holds La at (0.000, 0.249, 0.133), Tb at (0.000, 0.000, 0.262), Tb at (0.000, 0.500, 0.500) and Nd at (0.000, 0.500, 0.000).

---

Arrangement ii

The following is a GGA-PBE calculation of a relaxed La4Tb3Nd crystal, from Alexandria.

As for the magnetization: 0.0 μB/cell. For the density of states at the Fermi level, the calculation gives 27.519 states/eV per cell. As for the crystal system: orthorhombic.

The structure belongs to space group Pmn2_1 (No. 31); the cell edges are 11.814, 7.401 and 6.427 Å and the angles 90.00°, 90.00° and 90.00°. The asymmetric unit holds La at (0.000, 0.128, 0.000), La at (0.000, 0.871, 0.511), La at (0.246, 0.125, 0.333), Tb at (0.000, 0.379, 0.503), Tb at (0.250, 0.379, 0.835) and Nd at (0.000, 0.625, 0.004).

---

Stability order, top to bottom: arrangement ii, arrangement i